The following is a PBE calculation of a relaxed Tm3NpBi4 crystal, from the Alexandria database.

Lattice parameters (Å, degrees): 8.9379 12.5916 4.4504 90.00 90.00 90.00
Last column: nearest neighbours and their distance in Å.
Space group Cmmm (No. 65)
Symmetry-distinct sites (fractional):
Tm 0.0000 0.0000 0.0000 [2 per cell]  6 Bi 3.12-3.13
Tm 0.2500 0.2500 0.5000 [4 per cell]  6 Bi 3.15
Np 0.0000 0.5000 0.0000 [2 per cell]  6 Bi 3.17-3.18
Bi 0.0000 0.2484 0.0000 [4 per cell]  5 Tm 3.13-3.15, 1 Np 3.17
Bi 0.2455 0.0000 0.5000 [4 per cell]  4 Tm 3.12-3.15, 2 Np 3.18

**Formation enthalpy at 0 K**: -547 meV per atom
**Mass density**: 10.47 g/cm³

=====

The following is a PBE calculation of a relaxed Tm5NpBi6 crystal, from the Alexandria database.

Lattice parameters (Å, degrees): 7.7089 13.3486 7.7081 90.00 109.47 90.00
Last column: nearest neighbours and their distance in Å.
Space group C2/m (No. 12)
Symmetry-distinct sites (fractional):
Tm 0.0000 0.0000 0.0000 [2 per cell]  6 Bi 3.12-3.14
Tm 0.0000 0.1672 0.5000 [4 per cell]  6 Bi 3.14-3.15
Tm 0.0000 0.3351 0.0000 [4 per cell]  6 Bi 3.13-3.15
Np 0.0000 0.5000 0.5000 [2 per cell]  6 Bi 3.17-3.18
Bi 0.2465 0.0000 0.7503 [4 per cell]  5 Tm 3.12-3.14, 1 Np 3.17
Bi 0.2473 0.1683 0.2471 [8 per cell]  5 Tm 3.13-3.15, 1 Np 3.18

**Formation enthalpy at 0 K**: -625 meV per atom
**Mass density**: 10.37 g/cm³

=====

The following is a PBE calculation of a relaxed TmNpBi2 crystal, from the Alexandria database.

Lattice parameters (Å, degrees): 7.7037 7.7037 7.7037 90.00 90.00 90.00
Last column: nearest neighbours and their distance in Å.
Space group Fm-3m (No. 225)
Symmetry-distinct sites (fractional):
Tm 0.0000 0.0000 0.0000 [4 per cell]  8 Bi 3.34
Np 0.0000 0.0000 0.5000 [4 per cell]  8 Bi 3.34
Bi 0.2500 0.2500 0.2500 [8 per cell]  4 Tm 3.34, 4 Np 3.34

**Formation enthalpy at 0 K**: -159 meV per atom
**Mass density**: 11.97 g/cm³
**Polymorph energy (0 for the lowest one)**: 168.1 meV/atom

=====

The following is a PBE calculation of a relaxed NpUBi2 crystal, from the Alexandria database.

Lattice parameters (Å, degrees): 5.9010 5.9010 3.2476 90.00 90.00 90.00
Last column: nearest neighbours and their distance in Å.
Space group P4/mmm (No. 123)
Symmetry-distinct sites (fractional):
Np 0.0000 0.0000 0.0000 [1 per cell]  2 Np 3.25, 8 Bi 3.37
U 0.5000 0.5000 0.0000 [1 per cell]  2 U 3.25, 8 Bi 3.37
Bi 0.0000 0.5000 0.5000 [2 per cell]  2 Bi 3.25, 4 U 3.37, 4 Np 3.37

**Formation enthalpy at 0 K**: 174 meV per atom
**Mass density**: 13.11 g/cm³
**Polymorph energy (0 for the lowest one)**: 59.0 meV/atom

=====

The following is a PBE calculation of a relaxed NpUBi2 crystal, from the Alexandria database.

Lattice parameters (Å, degrees): 3.7671 3.7671 7.9172 90.00 90.00 90.00
Last column: nearest neighbours and their distance in Å.
Space group P4/mmm (No. 123)
Symmetry-distinct sites (fractional):
Np 0.0000 0.0000 0.0000 [1 per cell]  8 Bi 3.33
U 0.0000 0.0000 0.5000 [1 per cell]  8 Bi 3.31
Bi 0.5000 0.5000 0.2518 [2 per cell]  4 U 3.31, 4 Np 3.33

**Formation enthalpy at 0 K**: 117 meV per atom
**Mass density**: 13.20 g/cm³
**Polymorph energy (0 for the lowest one)**: 1.2 meV/atom

=====

The following is a PBE calculation of a relaxed NpUBi crystal, from the Alexandria database.

Lattice parameters (Å, degrees): 3.7214 14.0648 5.5397 90.00 90.00 90.00
Last column: nearest neighbours and their distance in Å.
Space group Cmcm (No. 63)
Symmetry-distinct sites (fractional):
Np 0.0000 0.0148 0.2500 [4 per cell]  2 U 2.44
U 0.0000 0.4022 0.2500 [4 per cell]  2 Np 2.44
Bi 0.0000 0.2921 0.7500 [4 per cell]  4 U 3.17-3.31, 2 Np 3.29, 4 Bi 3.54

**Formation enthalpy at 0 K**: 20 meV per atom
**Mass density**: 15.67 g/cm³

=====

Repeat the second record exactly.
The following is a PBE calculation of a relaxed Tm5NpBi6 crystal, from the Alexandria database.

Lattice parameters (Å, degrees): 7.7089 13.3486 7.7081 90.00 109.47 90.00
Last column: nearest neighbours and their distance in Å.
Space group C2/m (No. 12)
Symmetry-distinct sites (fractional):
Tm 0.0000 0.0000 0.0000 [2 per cell]  6 Bi 3.12-3.14
Tm 0.0000 0.1672 0.5000 [4 per cell]  6 Bi 3.14-3.15
Tm 0.0000 0.3351 0.0000 [4 per cell]  6 Bi 3.13-3.15
Np 0.0000 0.5000 0.5000 [2 per cell]  6 Bi 3.17-3.18
Bi 0.2465 0.0000 0.7503 [4 per cell]  5 Tm 3.12-3.14, 1 Np 3.17
Bi 0.2473 0.1683 0.2471 [8 per cell]  5 Tm 3.13-3.15, 1 Np 3.18

**Formation enthalpy at 0 K**: -625 meV per atom
**Mass density**: 10.37 g/cm³